Record 1
Here is crystalline Sr3Pt at its relaxed geometry from Alexandria via LeMat-Bulk. Energies are from GGA-PBE.

Unit cell a=4.9318 b=4.9318 c=11.2056 alpha=90.00 beta=90.00 gamma=90.00
Last column: nearest neighbours and their distance in Å.
Space group I4/mmm (No. 139)
One atom of each set of equivalent atoms:
Sr (0.0000, 0.0000, 0.0000) [2 per cell]  4 Pt 3.49, 8 Sr 3.73
Sr (0.0000, 0.5000, 0.2500) [4 per cell]  8 Sr 3.49-3.73, 4 Pt 3.73
Pt (0.0000, 0.0000, 0.5000) [2 per cell]  12 Sr 3.49-3.73

Output
Calculated density   5.58 g/cm3
Energy   -22.86 eV/cell

***

Record 2
Here is crystalline Sr3Pt at its relaxed geometry from Alexandria via LeMat-Bulk. Energies are from GGA-PBE.

Unit cell a=12.9439 b=12.9439 c=7.0046 alpha=90.00 beta=90.00 gamma=90.00
Last column: nearest neighbours and their distance in Å.
Space group P4_2/n (No. 86, origin choice 2)
One atom of each set of equivalent atoms:
Sr (0.0339, 0.5870, 0.1985) [8 per cell]  3 Pt 3.17-3.37
Sr (0.1219, 0.6657, 0.6913) [8 per cell]  2 Pt 3.23-3.28
Sr (0.1226, 0.1982, 0.0013) [8 per cell]  2 Pt 3.20-3.22, 1 Sr 3.56
Pt (0.0353, 0.1954, 0.5707) [8 per cell]  7 Sr 3.17-3.37

Output
Calculated density   5.18 g/cm3
Energy   -103.78 eV/cell

***

Record 3
Here is crystalline Sr2TaPt2 at its relaxed geometry from Alexandria via LeMat-Bulk. Energies are from GGA-PBE.

Unit cell a=4.3420 b=4.3420 c=13.2182 alpha=90.00 beta=90.00 gamma=90.00
Last column: nearest neighbours and their distance in Å.
Space group I4/mmm (No. 139)
One atom of each set of equivalent atoms:
Sr (0.0000, 0.5000, 0.2500) [4 per cell]  4 Pt 2.99, 4 Sr 3.07
Ta (0.0000, 0.0000, 0.0000) [2 per cell]  8 Pt 3.32
Pt (0.0000, 0.0000, 0.4054) [4 per cell]  1 Pt 2.50

Output
Calculated density   9.95 g/cm3
Distance to the lowest polymorph of the same formula   0.924 eV/atom
Energy   -49.08 eV/cell

***

> The lowest energy belongs to which entry?

number 2

***

> Which formula does entry 3 have?

Sr2TaPt2

***

> Among the records above, which one has the highest energy?

number 1

***

> The highest energy belongs to which entry?

number 1